No. 1
# Pm2Ga3Pd5 | Alexandria | GGA-PBE | relaxed
data_Pm2Ga3Pd5
_chemical_formula_sum 'Pm4 Ga6 Pd10'
_cell_length_a 12.810
_cell_length_b 12.810
_cell_length_c 6.841
_cell_angle_alpha 90.00
_cell_angle_beta 90.00
_cell_angle_gamma 160.88
_space_group_name_H-M_alt 'P 1'
_space_group_IT_number 1
loop_
_space_group_symop_operation_xyz
'x,y,z'
loop_
_atom_site_label
_atom_site_fract_x
_atom_site_fract_y
_atom_site_fract_z
Pm1 0.026 0.974 0.500
Pm2 0.325 0.675 0.463
Pm3 0.675 0.325 0.963
Pm4 0.974 0.026 0.000
Ga1 0.128 0.872 0.278
Ga2 0.282 0.718 0.912
Ga3 0.455 0.545 0.311
Ga4 0.545 0.455 0.811
Ga5 0.718 0.282 0.412
Ga6 0.872 0.128 0.778
Pd1 0.097 0.903 0.873
Pd2 0.196 0.804 0.635
Pd3 0.228 0.772 0.215
Pd4 0.380 0.620 0.042
Pd5 0.441 0.559 0.686
Pd6 0.559 0.441 0.186
Pd7 0.620 0.380 0.542
Pd8 0.772 0.228 0.715
Pd9 0.804 0.196 0.135
Pd10 0.903 0.097 0.373
# Space-group type   Cmc2_1 (36)
# Formation energy   -787 meV/atom



No. 2
# Pm2Ga4Pd3 | Alexandria | GGA-PBE | relaxed
data_Pm2Ga4Pd3
_chemical_formula_sum 'Pm4 Ga8 Pd6'
_cell_length_a 8.204
_cell_length_b 8.204
_cell_length_c 7.599
_cell_angle_alpha 90.00
_cell_angle_beta 90.00
_cell_angle_gamma 137.79
_space_group_name_H-M_alt 'P 1'
_space_group_IT_number 1
loop_
_space_group_symop_operation_xyz
'x,y,z'
loop_
_atom_site_label
_atom_site_fract_x
_atom_site_fract_y
_atom_site_fract_z
Pm1 0.114 0.886 0.913
Pm2 0.386 0.614 0.413
Pm3 0.614 0.386 0.587
Pm4 0.886 0.114 0.087
Ga1 0.178 0.822 0.521
Ga2 0.193 0.307 0.750
Ga3 0.307 0.193 0.250
Ga4 0.322 0.678 0.021
Ga5 0.678 0.322 0.979
Ga6 0.693 0.807 0.750
Ga7 0.807 0.693 0.250
Ga8 0.822 0.178 0.479
Pd1 0.000 0.000 0.500
Pd2 0.023 0.477 0.750
Pd3 0.477 0.023 0.250
Pd4 0.500 0.500 0.000
Pd5 0.523 0.977 0.750
Pd6 0.977 0.523 0.250
# Space-group type   Cmce (64)
# Formation energy   -762 meV/atom



No. 3
# PmGaPd2 | Alexandria | GGA-PBE | relaxed
data_PmGaPd2
_chemical_formula_sum 'Pm1 Ga1 Pd2'
_cell_length_a 3.376
_cell_length_b 3.376
_cell_length_c 6.683
_cell_angle_alpha 90.00
_cell_angle_beta 90.00
_cell_angle_gamma 90.00
_space_group_name_H-M_alt 'P 1'
_space_group_IT_number 1
loop_
_space_group_symop_operation_xyz
'x,y,z'
loop_
_atom_site_label
_atom_site_fract_x
_atom_site_fract_y
_atom_site_fract_z
Pm1 0.000 0.000 0.000
Ga1 0.000 0.000 0.500
Pd1 0.500 0.500 0.294
Pd2 0.500 0.500 0.706
# Space-group type   P4/mmm (123)
# Formation energy   -630 meV/atom



No. 4
# Pm2GaPd4 | Alexandria | GGA-PBE | relaxed
data_Pm2GaPd4
_chemical_formula_sum 'Pm2 Ga1 Pd4'
_cell_length_a 5.974
_cell_length_b 5.974
_cell_length_c 5.974
_cell_angle_alpha 117.46
_cell_angle_beta 117.46
_cell_angle_gamma 94.46
_space_group_name_H-M_alt 'P 1'
_space_group_IT_number 1
loop_
_space_group_symop_operation_xyz
'x,y,z'
loop_
_atom_site_label
_atom_site_fract_x
_atom_site_fract_y
_atom_site_fract_z
Pm1 0.250 0.750 0.500
Pm2 0.750 0.250 0.500
Ga1 0.000 0.000 0.000
Pd1 0.281 0.281 0.562
Pd2 0.281 0.719 0.000
Pd3 0.719 0.281 0.000
Pd4 0.719 0.719 0.438
# Space-group type   I4/mmm (139)
# Formation energy   -656 meV/atom
# Excess energy over the best structure of this formula in the dataset   0.000 eV per atom



No. 5
# PmGa6Pd2 | Alexandria | GGA-PBE | relaxed
data_PmGa6Pd2
_chemical_formula_sum 'Pm2 Ga12 Pd4'
_cell_length_a 8.372
_cell_length_b 8.372
_cell_length_c 8.372
_cell_angle_alpha 60.00
_cell_angle_beta 60.00
_cell_angle_gamma 60.00
_space_group_name_H-M_alt 'P 1'
_space_group_IT_number 1
loop_
_space_group_symop_operation_xyz
'x,y,z'
loop_
_atom_site_label
_atom_site_fract_x
_atom_site_fract_y
_atom_site_fract_z
Pm1 0.125 0.125 0.125
Pm2 0.875 0.875 0.875
Ga1 0.131 0.131 0.619
Ga2 0.131 0.619 0.131
Ga3 0.131 0.619 0.619
Ga4 0.381 0.381 0.869
Ga5 0.381 0.869 0.381
Ga6 0.381 0.869 0.869
Ga7 0.619 0.131 0.131
Ga8 0.619 0.131 0.619
Ga9 0.619 0.619 0.131
Ga10 0.869 0.381 0.381
Ga11 0.869 0.381 0.869
Ga12 0.869 0.869 0.381
Pd1 0.000 0.500 0.500
Pd2 0.500 0.000 0.500
Pd3 0.500 0.500 0.000
Pd4 0.500 0.500 0.500
# Space-group type   Fd-3m (227)
# Formation energy   -132 meV/atom



No. 6
# Pm2GaPd8 | Alexandria | GGA-PBE | relaxed
data_Pm2GaPd8
_chemical_formula_sum 'Pm2 Ga1 Pd8'
_cell_length_a 8.067
_cell_length_b 8.067
_cell_length_c 6.034
_cell_angle_alpha 111.90
_cell_angle_beta 111.90
_cell_angle_gamma 33.65
_space_group_name_H-M_alt 'P 1'
_space_group_IT_number 1
loop_
_space_group_symop_operation_xyz
'x,y,z'
loop_
_atom_site_label
_atom_site_fract_x
_atom_site_fract_y
_atom_site_fract_z
Pm1 0.189 0.189 0.188
Pm2 0.811 0.811 0.812
Ga1 0.500 0.500 0.500
Pd1 0.000 0.000 0.257
Pd2 0.000 0.000 0.743
Pd3 0.179 0.179 0.679
Pd4 0.368 0.368 0.628
Pd5 0.369 0.369 0.109
Pd6 0.631 0.631 0.891
Pd7 0.632 0.632 0.372
Pd8 0.821 0.821 0.321
# Space-group type   C2/m (12)
# Formation energy   -606 meV/atom



No. 7
# PmGaPd4 | Alexandria | GGA-PBE | relaxed
data_PmGaPd4
_chemical_formula_sum 'Pm1 Ga1 Pd4'
_cell_length_a 5.369
_cell_length_b 5.369
_cell_length_c 5.369
_cell_angle_alpha 60.00
_cell_angle_beta 60.00
_cell_angle_gamma 60.00
_space_group_name_H-M_alt 'P 1'
_space_group_IT_number 1
loop_
_space_group_symop_operation_xyz
'x,y,z'
loop_
_atom_site_label
_atom_site_fract_x
_atom_site_fract_y
_atom_site_fract_z
Pm1 0.000 0.000 0.000
Ga1 0.750 0.750 0.750
Pd1 0.376 0.376 0.376
Pd2 0.376 0.376 0.873
Pd3 0.376 0.873 0.376
Pd4 0.873 0.376 0.376
# Space-group type   F-43m (216)
# Formation energy   -602 meV/atom
# Excess energy over the best structure of this formula in the dataset   0.098 eV per atom



No. 8
# Pm4Ga5Pd3 | Alexandria | GGA-PBE | relaxed
data_Pm4Ga5Pd3
_chemical_formula_sum 'Pm4 Ga5 Pd3'
_cell_length_a 7.796
_cell_length_b 7.796
_cell_length_c 9.496
_cell_angle_alpha 115.84
_cell_angle_beta 115.84
_cell_angle_gamma 34.00
_space_group_name_H-M_alt 'P 1'
_space_group_IT_number 1
loop_
_space_group_symop_operation_xyz
'x,y,z'
loop_
_atom_site_label
_atom_site_fract_x
_atom_site_fract_y
_atom_site_fract_z
Pm1 0.042 0.042 0.331
Pm2 0.240 0.240 0.806
Pm3 0.760 0.760 0.194
Pm4 0.958 0.958 0.669
Ga1 0.294 0.294 0.525
Ga2 0.410 0.410 0.402
Ga3 0.500 0.500 0.000
Ga4 0.590 0.590 0.598
Ga5 0.706 0.706 0.475
Pd1 0.000 0.000 0.000
Pd2 0.386 0.386 0.124
Pd3 0.614 0.614 0.876
# Space-group type   C2/m (12)
# Formation energy   -551 meV/atom



No. 9
# PmGa9Pd3 | Alexandria | GGA-PBE | relaxed
data_PmGa9Pd3
_chemical_formula_sum 'Pm1 Ga9 Pd3'
_cell_length_a 6.959
_cell_length_b 6.959
_cell_length_c 6.865
_cell_angle_alpha 98.46
_cell_angle_beta 98.46
_cell_angle_gamma 133.01
_space_group_name_H-M_alt 'P 1'
_space_group_IT_number 1
loop_
_space_group_symop_operation_xyz
'x,y,z'
loop_
_atom_site_label
_atom_site_fract_x
_atom_site_fract_y
_atom_site_fract_z
Pm1 0.000 0.000 0.000
Ga1 0.000 0.000 0.500
Ga2 0.004 0.645 0.655
Ga3 0.295 0.510 0.790
Ga4 0.355 0.996 0.345
Ga5 0.490 0.705 0.210
Ga6 0.510 0.295 0.790
Ga7 0.645 0.004 0.655
Ga8 0.705 0.490 0.210
Ga9 0.996 0.355 0.345
Pd1 0.000 0.500 0.000
Pd2 0.500 0.000 0.000
Pd3 0.500 0.500 0.500
# Space-group type   C2/m (12)
# Formation energy   -447 meV/atom



No. 10
# Pm3Ga4Pd2 | Alexandria | GGA-PBE | relaxed
data_Pm3Ga4Pd2
_chemical_formula_sum 'Pm3 Ga4 Pd2'
_cell_length_a 5.910
_cell_length_b 5.910
_cell_length_c 8.638
_cell_angle_alpha 110.90
_cell_angle_beta 110.90
_cell_angle_gamma 44.18
_space_group_name_H-M_alt 'P 1'
_space_group_IT_number 1
loop_
_space_group_symop_operation_xyz
'x,y,z'
loop_
_atom_site_label
_atom_site_fract_x
_atom_site_fract_y
_atom_site_fract_z
Pm1 0.000 0.000 0.000
Pm2 0.322 0.322 0.354
Pm3 0.678 0.678 0.646
Ga1 0.021 0.021 0.359
Ga2 0.256 0.256 0.917
Ga3 0.744 0.744 0.083
Ga4 0.979 0.979 0.641
Pd1 0.400 0.400 0.733
Pd2 0.600 0.600 0.267
# Space-group type   C2/m (12)
# Formation energy   -793 meV/atom